# 1
# GeP (GGA-PBE, optimized geometry)
# Calculated total energy   -19.8 eV/cell
# Formation enthalpy at 0 K   0.0552 eV per atom
data_GeP
_space_group_name_H-M_alt 'P -3 m 1'
_space_group_IT_number 164
_space_group_name_Hall '-P 3 2"'
_cell_length_a 3.8299
_cell_length_b 3.8299
_cell_length_c 6.4551
_cell_angle_alpha 90.00
_cell_angle_beta 90.00
_cell_angle_gamma 120.00
loop_
_atom_site_label
_atom_site_fract_x
_atom_site_fract_y
_atom_site_fract_z
Ge1 0.3333 0.6667 0.1587
P1 0.0000 0.0000 0.3303

=====

# 2
# Dy2Y5Ho4 (GGA-PBE, optimized geometry)
# Calculated total energy   -117.3 eV/cell
# Formation enthalpy at 0 K   0.1093 eV per atom
data_Dy2Y5Ho4
_space_group_name_H-M_alt 'C 1 2/m 1'
_space_group_IT_number 12
_cell_length_a 18.815
_cell_length_b 3.601
_cell_length_c 12.066
_cell_angle_alpha 90.00
_cell_angle_beta 119.51
_cell_angle_gamma 90.00
loop_
_space_group_symop_operation_xyz
'x,y,z'
'-x,-y,-z'
'-x,y,-z'
'x,-y,z'
'x+1/2,y+1/2,z'
'-x+1/2,-y+1/2,-z'
'-x+1/2,y+1/2,-z'
'x+1/2,-y+1/2,z'
loop_
_atom_site_label
_atom_site_fract_x
_atom_site_fract_y
_atom_site_fract_z
Dy1 0.169 0.000 0.457
Y1 0.000 0.000 0.000
Y2 0.105 0.500 0.631
Y3 0.198 0.500 0.212
Ho1 0.017 0.500 0.243
Ho2 0.161 0.000 0.916

=====

# 3
# NaTl2PW (GGA-PBE, optimized geometry)
# Calculated total energy   -20.4 eV/cell
# Formation enthalpy at 0 K   0.7986 eV per atom
data_NaTl2PW
_space_group_name_H-M_alt 'P 4/m m m'
_space_group_IT_number 123
_space_group_name_Hall '-P 4 2'
_cell_length_a 5.568
_cell_length_b 5.568
_cell_length_c 4.586
_cell_angle_alpha 90.00
_cell_angle_beta 90.00
_cell_angle_gamma 90.00
loop_
_atom_site_label
_atom_site_fract_x
_atom_site_fract_y
_atom_site_fract_z
Na1 0.000 0.000 0.000
Tl1 0.000 0.500 0.500
P1 0.500 0.500 0.500
W1 0.500 0.500 0.000

=====

# 4
# Tm8NiTe4Se3 (GGA-PBE, optimized geometry)
# Formation energy from raw total energies   -1.325 eV per atom
# Calculated total energy   -257.3 eV/cell
data_Tm8NiTe4Se3
_space_group_name_H-M_alt 'R -3 m'
_space_group_IT_number 166
_space_group_name_Hall '-R 3 2"'
_cell_length_a 8.2917
_cell_length_b 8.2917
_cell_length_c 20.8426
_cell_angle_alpha 90.00
_cell_angle_beta 90.00
_cell_angle_gamma 120.00
loop_
_atom_site_label
_atom_site_fract_x
_atom_site_fract_y
_atom_site_fract_z
Tm1 0.0000 0.0000 0.2413
Tm2 0.0287 0.5143 0.2368
Ni1 0.0000 0.0000 0.5000
Te1 0.0000 0.0000 0.0000
Te2 0.0000 0.5000 0.0000
Se1 0.0000 0.5000 0.5000